[1]
Computed, not measured: AcGa4Pd4 after structural relaxation at the PBE level of DFT.

Space-group type: P4_2/nmc (137)
Energy of formation from the pure elements (eV per atom): -0.696
N(E_F) (states/eV/cell): 9.245

Cell lengths 6.243, 6.243, 8.667 Å; angles 90.00, 90.00, 90.00 degrees
Fractional coordinates of all 18 atoms:
Ac 0.250 0.750 0.250
Ac 0.750 0.250 0.750
Ga 0.045 0.250 0.078
Ga 0.250 0.045 0.578
Ga 0.250 0.455 0.578
Ga 0.455 0.250 0.078
Ga 0.545 0.750 0.922
Ga 0.750 0.545 0.422
Ga 0.750 0.955 0.422
Ga 0.955 0.750 0.922
Pd 0.020 0.250 0.372
Pd 0.250 0.020 0.872
Pd 0.250 0.480 0.872
Pd 0.480 0.250 0.372
Pd 0.520 0.750 0.628
Pd 0.750 0.520 0.128
Pd 0.750 0.980 0.128
Pd 0.980 0.750 0.628


[2]
Computed, not measured: GaAs2H after structural relaxation at the PBE level of DFT.

Space-group type: Fm-3m (225)
N(E_F) (states/eV/cell): 10.279
ΔE to the lowest computed polymorph (eV/atom): 0.4691

Cell lengths 6.279, 6.279, 6.279 Å; angles 90.00, 90.00, 90.00 degrees
Fractional coordinates of all 16 atoms:
Ga 0.000 0.000 0.000
Ga 0.000 0.500 0.500
Ga 0.500 0.000 0.500
Ga 0.500 0.500 0.000
As 0.250 0.250 0.250
As 0.250 0.250 0.750
As 0.250 0.750 0.250
As 0.250 0.750 0.750
As 0.750 0.250 0.250
As 0.750 0.250 0.750
As 0.750 0.750 0.250
As 0.750 0.750 0.750
H 0.000 0.000 0.500
H 0.000 0.500 0.000
H 0.500 0.000 0.000
H 0.500 0.500 0.500


[3]
Computed, not measured: ScCdB after structural relaxation at the PBE level of DFT.

Space-group type: P-1 (2)
Energy of formation from the pure elements (eV per atom): -0.490
N(E_F) (states/eV/cell): 5.057
ΔE to the lowest computed polymorph (eV/atom): 0.0002

Cell lengths 3.182, 3.183, 11.284 Å; angles 90.01, 98.07, 120.00 degrees
Fractional coordinates of all 6 atoms:
Sc 0.102 0.051 0.153
Sc 0.898 0.949 0.847
Cd 0.412 0.207 0.616
Cd 0.588 0.793 0.384
B 0.333 0.666 0.999
B 0.667 0.334 0.001


[4]
Computed, not measured: ReC2 after structural relaxation at the PBE level of DFT.

Space-group type: R3m (160)
Energy of formation from the pure elements (eV per atom): 1.393
N(E_F) (states/eV/cell): 3.876
ΔE to the lowest computed polymorph (eV/atom): 0.9529

Cell lengths 3.211, 3.211, 16.246 Å; angles 90.00, 90.00, 120.00 degrees
Fractional coordinates of all 9 atoms:
Re 0.000 0.000 0.000
Re 0.333 0.667 0.667
Re 0.667 0.333 0.333
C 0.000 0.000 0.613
C 0.000 0.000 0.720
C 0.333 0.667 0.280
C 0.333 0.667 0.387
C 0.667 0.333 0.054
C 0.667 0.333 0.946


[5]
Computed, not measured: Sm4Mg3Sn after structural relaxation at the PBE level of DFT.

Space-group type: R-3m (166)
Energy of formation from the pure elements (eV per atom): -0.280
N(E_F) (states/eV/cell): 7.805

Cell lengths 9.410, 9.410, 9.410 Å; angles 33.46, 33.46, 33.46 degrees
Fractional coordinates of all 8 atoms:
Sm 0.124 0.124 0.124
Sm 0.374 0.374 0.374
Sm 0.626 0.626 0.626
Sm 0.876 0.876 0.876
Mg 0.246 0.246 0.246
Mg 0.500 0.500 0.500
Mg 0.754 0.754 0.754
Sn 0.000 0.000 0.000


[6]
Computed, not measured: ScTa2Cl after structural relaxation at the PBE level of DFT.

Space-group type: Cmm2 (35)
N(E_F) (states/eV/cell): 8.660
E_form (uncorrected) (eV per formula unit): -0.748
ΔE to the lowest computed polymorph (eV/atom): 0.0093

Cell lengths 3.553, 4.898, 10.248 Å; angles 90.00, 90.00, 90.00 degrees
Fractional coordinates of all 8 atoms:
Sc 0.000 0.000 0.000
Sc 0.500 0.500 0.000
Ta 0.000 0.000 0.570
Ta 0.000 0.500 0.771
Ta 0.500 0.000 0.771
Ta 0.500 0.500 0.570
Cl 0.000 0.500 0.172
Cl 0.500 0.000 0.172


[7]
Computed, not measured: LiLaBePd2 after structural relaxation at the PBE level of DFT.

Space-group type: P4/mmm (123)
Energy of formation from the pure elements (eV per atom): -0.426
N(E_F) (states/eV/cell): 2.619

Cell lengths 4.551, 4.551, 4.351 Å; angles 90.00, 90.00, 90.00 degrees
Fractional coordinates of all 5 atoms:
Li 0.000 0.000 0.000
La 0.500 0.500 0.000
Be 0.000 0.000 0.500
Pd 0.000 0.500 0.500
Pd 0.500 0.000 0.500


[8]
Computed, not measured: Tm3ThPd4 after structural relaxation at the PBE level of DFT.

Space-group type: R-3m (166)
Energy of formation from the pure elements (eV per atom): -0.859
N(E_F) (states/eV/cell): 5.767

Cell lengths 8.708, 8.708, 8.708 Å; angles 32.97, 32.97, 32.97 degrees
Fractional coordinates of all 8 atoms:
Tm 0.000 0.000 0.000
Tm 0.254 0.254 0.254
Tm 0.746 0.746 0.746
Th 0.500 0.500 0.500
Pd 0.119 0.119 0.119
Pd 0.376 0.376 0.376
Pd 0.624 0.624 0.624
Pd 0.881 0.881 0.881


[9]
Computed, not measured: Ac2PrHg after structural relaxation at the PBE level of DFT.

Space-group type: R-3m (166)
Energy of formation from the pure elements (eV per atom): 0.074
N(E_F) (states/eV/cell): 17.772
ΔE to the lowest computed polymorph (eV/atom): 0.3012

Cell lengths 3.805, 3.805, 37.555 Å; angles 90.00, 90.00, 120.00 degrees
Fractional coordinates of all 12 atoms:
Ac 0.000 0.000 0.097
Ac 0.000 0.000 0.903
Ac 0.333 0.667 0.570
Ac 0.333 0.667 0.764
Ac 0.667 0.333 0.236
Ac 0.667 0.333 0.430
Pr 0.000 0.000 0.000
Pr 0.333 0.667 0.667
Pr 0.667 0.333 0.333
Hg 0.000 0.000 0.500
Hg 0.333 0.667 0.167
Hg 0.667 0.333 0.833


[10]
Computed, not measured: Ca5PrO6 after structural relaxation at the PBE level of DFT.

Space-group type: C2/m (12)
N(E_F) (states/eV/cell): 1.835
E_form (uncorrected) (eV per formula unit): -34.370

Cell lengths 5.993, 5.993, 5.989 Å; angles 99.57, 99.57, 120.04 degrees
Fractional coordinates of all 12 atoms:
Ca 0.000 0.000 0.000
Ca 0.166 0.834 0.500
Ca 0.331 0.669 0.000
Ca 0.669 0.331 0.000
Ca 0.834 0.166 0.500
Pr 0.500 0.500 0.500
O 0.080 0.416 0.249
O 0.248 0.248 0.752
O 0.416 0.080 0.249
O 0.584 0.920 0.751
O 0.752 0.752 0.248
O 0.920 0.584 0.751


[11]
Computed, not measured: Sr2Li16Ga after structural relaxation at the PBE level of DFT.

Space-group type: R3m (160)
Energy of formation from the pure elements (eV per atom): -0.021
N(E_F) (states/eV/cell): 11.612

Cell lengths 7.639, 7.639, 7.639 Å; angles 84.14, 84.14, 84.14 degrees
Fractional coordinates of all 19 atoms:
Sr 0.000 0.000 0.000
Sr 0.310 0.310 0.310
Li 0.001 0.001 0.527
Li 0.001 0.527 0.001
Li 0.138 0.669 0.669
Li 0.310 0.310 0.795
Li 0.310 0.795 0.310
Li 0.387 0.661 0.933
Li 0.387 0.933 0.661
Li 0.527 0.001 0.001
Li 0.566 0.566 0.566
Li 0.661 0.387 0.933
Li 0.661 0.933 0.387
Li 0.669 0.138 0.669
Li 0.669 0.669 0.138
Li 0.795 0.310 0.310
Li 0.933 0.387 0.661
Li 0.933 0.661 0.387
Ga 0.759 0.759 0.759


[12]
Computed, not measured: Ho2ErLu after structural relaxation at the PBE level of DFT.

Space-group type: R-3m (166)
Energy of formation from the pure elements (eV per atom): 0.027
N(E_F) (states/eV/cell): 18.030
ΔE to the lowest computed polymorph (eV/atom): 0.0014

Cell lengths 3.498, 3.498, 34.143 Å; angles 90.00, 90.00, 120.00 degrees
Fractional coordinates of all 12 atoms:
Ho 0.000 0.000 0.250
Ho 0.000 0.000 0.750
Ho 0.333 0.667 0.416
Ho 0.333 0.667 0.917
Ho 0.667 0.333 0.083
Ho 0.667 0.333 0.584
Er 0.000 0.000 0.500
Er 0.333 0.667 0.167
Er 0.667 0.333 0.833
Lu 0.000 0.000 0.000
Lu 0.333 0.667 0.667
Lu 0.667 0.333 0.333